1.
VASP calculation (PBE) on crystalline SrPaPt2 at its relaxed geometry.

Unit cell a=7.676 b=7.676 c=7.676 alpha=30.86 beta=30.86 gamma=30.86
Fractional coordinates of all 4 atoms:
Sr 0.000 0.000 0.000
Pa 0.500 0.500 0.500
Pt 0.237 0.237 0.237
Pt 0.763 0.763 0.763

2.
VASP calculation (PBE) on crystalline Sr5PaPt4 at its relaxed geometry.

Unit cell a=9.625 b=9.625 c=8.543 alpha=103.96 beta=103.96 gamma=25.53
Fractional coordinates of all 10 atoms:
Sr 0.000 0.000 0.000
Sr 0.328 0.328 0.660
Sr 0.340 0.340 0.174
Sr 0.660 0.660 0.826
Sr 0.672 0.672 0.340
Pa 0.000 0.000 0.500
Pt 0.151 0.151 0.577
Pt 0.495 0.495 0.719
Pt 0.505 0.505 0.281
Pt 0.849 0.849 0.423

3.
VASP calculation (PBE) on crystalline Sr2PaPt3 at its relaxed geometry.

Unit cell a=13.906 b=13.258 c=7.438 alpha=78.97 beta=69.36 gamma=31.67
Fractional coordinates of all 24 atoms:
Sr 0.045 0.045 0.205
Sr 0.122 0.122 0.628
Sr 0.205 0.205 0.045
Sr 0.372 0.372 0.878
Sr 0.628 0.628 0.122
Sr 0.795 0.795 0.955
Sr 0.878 0.878 0.372
Sr 0.955 0.955 0.795
Pa 0.291 0.291 0.459
Pa 0.459 0.459 0.291
Pa 0.541 0.541 0.709
Pa 0.709 0.709 0.541
Pt 0.034 0.534 0.252
Pt 0.164 0.586 0.586
Pt 0.252 0.680 0.034
Pt 0.320 0.748 0.466
Pt 0.414 0.836 0.836
Pt 0.466 0.966 0.320
Pt 0.534 0.034 0.680
Pt 0.586 0.164 0.164
Pt 0.680 0.252 0.534
Pt 0.748 0.320 0.966
Pt 0.836 0.414 0.414
Pt 0.966 0.466 0.748

4.
VASP calculation (PBE) on crystalline SrPaPt2 at its relaxed geometry.

Unit cell a=3.596 b=3.596 c=7.545 alpha=90.00 beta=90.00 gamma=90.00
Fractional coordinates of all 4 atoms:
Sr 0.000 0.000 0.000
Pa 0.000 0.000 0.500
Pt 0.500 0.500 0.305
Pt 0.500 0.500 0.695

5.
VASP calculation (PBE) on crystalline Sr3PaPt3 at its relaxed geometry.

Unit cell a=8.116 b=4.536 c=11.792 alpha=90.00 beta=101.84 gamma=90.00
Fractional coordinates of all 14 atoms:
Sr 0.038 0.250 0.127
Sr 0.149 0.250 0.638
Sr 0.364 0.750 0.365
Sr 0.636 0.250 0.635
Sr 0.851 0.750 0.362
Sr 0.962 0.750 0.873
Pa 0.461 0.750 0.871
Pa 0.539 0.250 0.129
Pt 0.267 0.250 0.917
Pt 0.317 0.750 0.084
Pt 0.387 0.750 0.635
Pt 0.613 0.250 0.365
Pt 0.683 0.250 0.916
Pt 0.733 0.750 0.083

6.
VASP calculation (PBE) on crystalline Sr3PaPt4 at its relaxed geometry.

Unit cell a=7.529 b=7.529 c=4.153 alpha=90.00 beta=90.00 gamma=107.98
Fractional coordinates of all 8 atoms:
Sr 0.000 0.000 0.000
Sr 0.000 0.500 0.500
Sr 0.500 0.000 0.500
Pa 0.500 0.500 0.000
Pt 0.280 0.720 0.000
Pt 0.285 0.285 0.500
Pt 0.715 0.715 0.500
Pt 0.720 0.280 0.000

7.
VASP calculation (PBE) on crystalline Pa2TaPt at its relaxed geometry.

Unit cell a=10.971 b=10.971 c=10.971 alpha=15.91 beta=15.91 gamma=15.91
Fractional coordinates of all 4 atoms:
Pa 0.085 0.085 0.085
Pa 0.915 0.915 0.915
Ta 0.500 0.500 0.500
Pt 0.000 0.000 0.000

8.
VASP calculation (PBE) on crystalline PaTaPt2 at its relaxed geometry.

Unit cell a=5.628 b=5.628 c=5.628 alpha=45.58 beta=45.58 gamma=45.58
Fractional coordinates of all 4 atoms:
Pa 0.000 0.000 0.000
Ta 0.500 0.500 0.500
Pt 0.224 0.224 0.224
Pt 0.776 0.776 0.776

| no. | DFT formation energy (kJ/mol of formula units) | DOS at the Fermi energy (states/eV per cell) |
| --- | --- | --- |
| 1 | -350.2 | 2.674 |
| 2 | -714.8 | 6.150 |
| 3 | -486.8 | 14.874 |
| 4 | -339.8 | 4.237 |
| 5 | -542.5 | 14.218 |
| 6 | -611.5 | 5.122 |
| 7 | 41.8 | 5.308 |
| 8 | -226.8 | 3.822 |